The following is a DFT calculation (GGA+U) of an optimized crystal structure of TiV2F.

Cell: 4.6043 4.6043 4.6043 Å, 60.00 60.00 60.00°
Fractional coordinates of all 4 atoms:
Ti 0.0000 0.0000 0.0000
V 0.2500 0.2500 0.2500
V 0.7500 0.7500 0.7500
F 0.5000 0.5000 0.5000

Output
Size of the total moment in μB/f.u.: 8.15
Final energy in eV for the cell shown: -21.22
Energy relative to the lowest polymorph listed for this composition in eV per atom: 0.505
Symmetry: No. 225